[1]
{"formula": "Ho2AsC", "functional": "PBE", "state": "optimized geometry", "lattice": [[2.1809, 1.2591, 7.2521], [-2.1809, 1.2591, 7.2521], [0.0000, -2.5183, 7.2521]], "species": ["Ho", "Ho", "As", "C"], "frac_coords": [[0.1000, 0.1000, 0.1000], [0.9000, 0.9000, 0.9000], [0.5000, 0.5000, 0.5000], [0.0000, 0.0000, 0.0000]], "delta_e_f_mev_per_atom": 257.6, "e_tot_ev_per_atom": -5.4996, "mass_density_g_cm3": 5.79}

=====

[2]
{"formula": "SrTe3Br", "functional": "PBE", "state": "optimized geometry", "lattice": [[5.6410, 0.0000, 0.0000], [0.0000, 5.6410, 0.0000], [0.0000, 0.0000, 5.6410]], "species": ["Sr", "Te", "Te", "Te", "Br"], "frac_coords": [[0.0000, 0.0000, 0.0000], [0.0000, 0.5000, 0.5000], [0.5000, 0.0000, 0.5000], [0.5000, 0.5000, 0.0000], [0.5000, 0.5000, 0.5000]], "e_form_raw_ev_per_atom": -0.167, "e_tot_ev_per_atom": -2.7233, "mass_density_g_cm3": 5.09}

=====

[3]
{"formula": "ErTmTiN3", "functional": "PBE", "state": "optimized geometry", "lattice": [[6.3956, 0.0000, 0.0000], [0.0000, 3.2284, 0.0000], [-0.2752, 0.0000, 9.1137]], "species": ["Er", "Er", "Tm", "Tm", "Ti", "Ti", "N", "N", "N", "N", "N", "N"], "frac_coords": [[0.1775, 0.2500, 0.2370], [0.8225, 0.7500, 0.7630], [0.3436, 0.7500, 0.8837], [0.6564, 0.2500, 0.1163], [0.1423, 0.2500, 0.5740], [0.8577, 0.7500, 0.4260], [0.1189, 0.2500, 0.7889], [0.1868, 0.7500, 0.4532], [0.3855, 0.7500, 0.1289], [0.6145, 0.2500, 0.8711], [0.8132, 0.2500, 0.5468], [0.8811, 0.7500, 0.2111]], "e_form_raw_ev_per_atom": -1.412, "e_tot_ev_per_atom": -8.3962, "mass_density_g_cm3": 7.52}

=====

[4]
{"formula": "Ti2BiBr", "functional": "PBE", "state": "optimized geometry", "lattice": [[-2.7092, 2.7092, 7.6585], [2.7092, -2.7092, 7.6585], [2.7092, 2.7092, -7.6585]], "species": ["Ti", "Ti", "Ti", "Ti", "Bi", "Bi", "Br", "Br"], "frac_coords": [[0.0783, 0.6250, 0.9533], [0.3750, 0.3283, 0.4533], [0.6717, 0.1250, 0.0467], [0.8750, 0.9217, 0.5467], [0.2500, 0.7500, 0.5000], [0.5000, 0.5000, 0.0000], [0.0000, 0.0000, 0.0000], [0.7500, 0.2500, 0.5000]], "e_form_raw_ev_per_atom": 0.225, "e_tot_ev_per_atom": -5.1105, "mass_density_g_cm3": 5.68}

=====

[5]
{"formula": "La3ZnCo3", "functional": "PBE", "state": "optimized geometry", "lattice": [[2.1467, -5.0193, 0.0000], [2.1467, 5.0193, 0.0000], [0.0000, 0.0000, 13.5323]], "species": ["La", "La", "La", "La", "La", "La", "Zn", "Zn", "Co", "Co", "Co", "Co", "Co", "Co"], "frac_coords": [[0.0064, 0.9936, 0.7500], [0.2961, 0.7039, 0.6020], [0.2961, 0.7039, 0.8980], [0.7039, 0.2961, 0.1020], [0.7039, 0.2961, 0.3980], [0.9936, 0.0064, 0.2500], [0.0000, 0.0000, 0.0000], [0.0000, 0.0000, 0.5000], [0.3079, 0.6921, 0.2500], [0.4181, 0.5819, 0.0891], [0.4181, 0.5819, 0.4109], [0.5819, 0.4181, 0.5891], [0.5819, 0.4181, 0.9109], [0.6921, 0.3079, 0.7500]], "delta_e_f_mev_per_atom": -144.0, "e_tot_ev_per_atom": -5.4832, "mass_density_g_cm3": 7.50}

=====

[6]
{"formula": "Sc3PbSe", "functional": "PBE", "state": "optimized geometry", "lattice": [[8.5183, 0.0000, 0.0000], [0.0000, 6.3258, 0.0000], [-3.7682, 0.0000, 9.0286]], "species": ["Sc", "Sc", "Sc", "Sc", "Sc", "Sc", "Sc", "Sc", "Sc", "Sc", "Sc", "Sc", "Pb", "Pb", "Pb", "Pb", "Se", "Se", "Se", "Se"], "frac_coords": [[0.0405, 0.0965, 0.3251], [0.0405, 0.4035, 0.8251], [0.2002, 0.5793, 0.5314], [0.2002, 0.9207, 0.0314], [0.3992, 0.1760, 0.8259], [0.3992, 0.3240, 0.3259], [0.6008, 0.6760, 0.6741], [0.6008, 0.8240, 0.1741], [0.7998, 0.0793, 0.9686], [0.7998, 0.4207, 0.4686], [0.9595, 0.5965, 0.1749], [0.9595, 0.9035, 0.6749], [0.3601, 0.6908, 0.8521], [0.3601, 0.8092, 0.3521], [0.6399, 0.1908, 0.6479], [0.6399, 0.3092, 0.1479], [0.0986, 0.2262, 0.5995], [0.0986, 0.2738, 0.0995], [0.9014, 0.7262, 0.9005], [0.9014, 0.7738, 0.4005]], "e_form_raw_ev_per_atom": -0.740, "e_tot_ev_per_atom": -5.9770, "mass_density_g_cm3": 5.75}

=====

[7]
{"formula": "TlFeSnCl5", "functional": "PBE", "state": "optimized geometry", "lattice": [[4.5697, -6.1460, 0.0000], [4.5697, 6.1460, 0.0000], [-4.0898, 0.0000, 9.2255]], "species": ["Tl", "Tl", "Fe", "Fe", "Sn", "Sn", "Cl", "Cl", "Cl", "Cl", "Cl", "Cl", "Cl", "Cl", "Cl", "Cl"], "frac_coords": [[0.1548, 0.8452, 0.7500], [0.8452, 0.1548, 0.2500], [0.1833, 0.8167, 0.2500], [0.8167, 0.1833, 0.7500], [0.5000, 0.5000, 0.0000], [0.5000, 0.5000, 0.5000], [0.1010, 0.2428, 0.9277], [0.1713, 0.5917, 0.3666], [0.2428, 0.1010, 0.4277], [0.4069, 0.5931, 0.7500], [0.4083, 0.8287, 0.1334], [0.5917, 0.1713, 0.8666], [0.5931, 0.4069, 0.2500], [0.7572, 0.8990, 0.5723], [0.8287, 0.4083, 0.6334], [0.8990, 0.7572, 0.0723]], "e_form_raw_ev_per_atom": -0.888, "e_tot_ev_per_atom": -3.8957, "mass_density_g_cm3": 3.56}

=====

[8]
{"formula": "Li6CuPd2", "functional": "PBE", "state": "optimized geometry", "lattice": [[6.5911, -3.0088, 0.0000], [6.5911, 3.0088, 0.0000], [-1.4384, 0.0000, 4.1114]], "species": ["Li", "Li", "Li", "Li", "Li", "Li", "Cu", "Pd", "Pd"], "frac_coords": [[0.0693, 0.5918, 0.3296], [0.2468, 0.7532, 0.0000], [0.4082, 0.9307, 0.6704], [0.5918, 0.0693, 0.3296], [0.7532, 0.2468, 0.0000], [0.9307, 0.4082, 0.6704], [0.5000, 0.5000, 0.5000], [0.1672, 0.1672, 0.1685], [0.8328, 0.8328, 0.8315]], "delta_e_f_mev_per_atom": -32.1, "e_tot_ev_per_atom": -2.9171, "mass_density_g_cm3": 3.24}